1.
CaAl2W after structural relaxation. Source: the Alexandria database, functional PBE.

a = 2.9224 Å, b = 2.9224 Å, c = 8.7793 Å
α = 90.00°, β = 90.00°, γ = 90.07°
Atoms (fractional coordinates):
Ca 0.5000 0.5000 0.2500
Al 0.0000 0.0000 0.9667
Al 0.0000 0.0000 0.5333
W 0.5000 0.5000 0.7500

Summary:
The offset from the most stable computed form comes out at 0.0245 eV/atom. For the formation energy, the calculation gives 0.05 eV per atom. For the total energy, the calculation gives -22.250 eV/cell.

=====

2.
CaAlW2 after structural relaxation. Source: the Alexandria database, functional PBE.

a = 2.8433 Å, b = 2.8433 Å, c = 9.5473 Å
α = 90.00°, β = 90.00°, γ = 107.80°
Atoms (fractional coordinates):
Ca 0.5000 0.5000 0.7498
Al 0.0000 0.0000 0.4734
W 0.0000 0.0000 0.0265
W 0.5000 0.5000 0.2503

Summary:
For the formation energy, the calculation gives 0.36 eV per atom. For the total energy, the calculation gives -30.201 eV/cell.

=====

3.
CaAlW2 after structural relaxation. Source: the Alexandria database, functional PBE.

a = 2.7649 Å, b = 2.7649 Å, c = 9.5846 Å
α = 90.00°, β = 90.00°, γ = 90.00°
Atoms (fractional coordinates):
Ca 0.5000 0.5000 0.7456
Al 0.0000 0.0000 0.4730
W 0.0000 0.0000 0.0212
W 0.5000 0.5000 0.2603

Summary:
For the formation energy, the calculation gives 0.44 eV per atom. For the total energy, the calculation gives -29.901 eV/cell.

=====

4.
CaAl3W after structural relaxation. Source: the Alexandria database, functional PBE.

a = 4.9137 Å, b = 4.9137 Å, c = 4.9137 Å
α = 90.00°, β = 90.00°, γ = 90.00°
Atoms (fractional coordinates):
Ca 0.5000 0.5000 0.5000
Al 0.0000 0.5000 0.0000
Al 0.0000 0.0000 0.5000
Al 0.5000 0.0000 0.0000
W 0.0000 0.0000 0.0000

Summary:
The offset from the most stable computed form comes out at 0.0000 eV/atom. For the formation energy, the calculation gives 0.14 eV per atom. For the total energy, the calculation gives -25.465 eV/cell.